[1]
# GGA-PBE Ba2ZrCd, optimized geometry
# calculated total energy = -11.6 eV/f.u.
# magnetization = 0.000 μB/f.u.
# formation energy = 426 meV per atom
data_Ba2ZrCd
_chemical_formula_sum 'Ba4 Zr2 Cd2'
_cell_length_a 5.1286
_cell_length_b 5.1286
_cell_length_c 10.5986
_cell_angle_alpha 90.00
_cell_angle_beta 90.00
_cell_angle_gamma 90.00
_space_group_name_H-M_alt 'I 4/m m m'
_space_group_IT_number 139
_space_group_name_Hall '-I 4 2'
loop_
_atom_site_label
_atom_site_type_symbol
_atom_site_fract_x
_atom_site_fract_y
_atom_site_fract_z
Ba1 Ba 0.0000 0.5000 0.2500
Zr1 Zr 0.0000 0.0000 0.0000
Cd1 Cd 0.0000 0.0000 0.5000

---

[2]
# GGA-PBE TlNi2Se, optimized geometry
# E_form (uncorrected) = 0.038 eV per atom
# calculated total energy = -17.3 eV/f.u.
# magnetization = 0.000 μB/f.u.
# distance to the lowest polymorph of the same formula = 17.4 meV/atom
data_TlNi2Se
_chemical_formula_sum 'Tl2 Ni4 Se2'
_cell_length_a 3.5909
_cell_length_b 3.3011
_cell_length_c 11.9678
_cell_angle_alpha 90.00
_cell_angle_beta 90.00
_cell_angle_gamma 90.00
_space_group_name_H-M_alt 'A m m 2'
_space_group_IT_number 38
loop_
_space_group_symop_operation_xyz
'x,y,z'
'-x,-y,z'
'-x,y,z'
'x,-y,z'
'x,y+1/2,z+1/2'
'-x,-y+1/2,z+1/2'
'-x,y+1/2,z+1/2'
'x,-y+1/2,z+1/2'
loop_
_atom_site_label
_atom_site_type_symbol
_atom_site_fract_x
_atom_site_fract_y
_atom_site_fract_z
Tl1 Tl 0.0000 0.0000 0.0000
Ni1 Ni 0.0000 0.0000 0.7690
Ni2 Ni 0.5000 0.0000 0.6182
Se1 Se 0.5000 0.0000 0.2621

---

[3]
# GGA-PBE NiTeAs3, optimized geometry
# E_form (uncorrected) = 0.384 eV per atom
# calculated total energy = -20.9 eV/f.u.
# magnetization = 0.000 μB/f.u.
# distance to the lowest polymorph of the same formula = 0.0 meV/atom
data_NiTeAs3
_chemical_formula_sum 'Ni1 Te1 As3'
_cell_length_a 4.7009
_cell_length_b 4.7009
_cell_length_c 4.7009
_cell_angle_alpha 90.00
_cell_angle_beta 90.00
_cell_angle_gamma 90.00
_space_group_name_H-M_alt 'P m -3 m'
_space_group_IT_number 221
_space_group_name_Hall '-P 4 2 3'
loop_
_atom_site_label
_atom_site_type_symbol
_atom_site_fract_x
_atom_site_fract_y
_atom_site_fract_z
Ni1 Ni 0.0000 0.0000 0.0000
Te1 Te 0.5000 0.5000 0.5000
As1 As 0.0000 0.0000 0.5000

---

[4]
# GGA-PBE LiAl2Ir, optimized geometry
# calculated total energy = -20.1 eV/f.u.
# magnetization = 0.000 μB/f.u.
# distance to the lowest polymorph of the same formula = 276.1 meV/atom
# formation energy = -452 meV per atom
data_LiAl2Ir
_chemical_formula_sum 'Li2 Al4 Ir2'
_cell_length_a 8.5535
_cell_length_b 2.9529
_cell_length_c 4.7782
_cell_angle_alpha 90.00
_cell_angle_beta 101.55
_cell_angle_gamma 90.00
_space_group_name_H-M_alt 'C 1 2/m 1'
_space_group_IT_number 12
loop_
_space_group_symop_operation_xyz
'x,y,z'
'-x,-y,-z'
'-x,y,-z'
'x,-y,z'
'x+1/2,y+1/2,z'
'-x+1/2,-y+1/2,-z'
'-x+1/2,y+1/2,-z'
'x+1/2,-y+1/2,z'
loop_
_atom_site_label
_atom_site_type_symbol
_atom_site_fract_x
_atom_site_fract_y
_atom_site_fract_z
Li1 Li 0.0000 0.0000 0.0000
Al1 Al 0.2364 0.0000 0.7252
Ir1 Ir 0.0000 0.5000 0.5000

---

[5]
# GGA-PBE BePd2Pb2, optimized geometry
# calculated total energy = -19.8 eV/f.u.
# magnetization = 0.000 μB/f.u.
# distance to the lowest polymorph of the same formula = 388.0 meV/atom
# formation energy = 348 meV per atom
data_BePd2Pb2
_chemical_formula_sum 'Be2 Pd4 Pb4'
_cell_length_a 3.7932
_cell_length_b 3.7932
_cell_length_c 15.1643
_cell_angle_alpha 90.00
_cell_angle_beta 90.00
_cell_angle_gamma 90.00
_space_group_name_H-M_alt 'I 4/m m m'
_space_group_IT_number 139
_space_group_name_Hall '-I 4 2'
loop_
_atom_site_label
_atom_site_type_symbol
_atom_site_fract_x
_atom_site_fract_y
_atom_site_fract_z
Be1 Be 0.0000 0.0000 0.0000
Pd1 Pd 0.0000 0.5000 0.2500
Pb1 Pb 0.0000 0.0000 0.3926

---

[6]
# GGA-PBE CaLa2MnN4, optimized geometry
# E_form (uncorrected) = -0.890 eV per atom
# calculated total energy = -61.5 eV/f.u.
# magnetization = 2.973 μB/f.u.
data_CaLa2MnN4
_chemical_formula_sum 'Ca4 La8 Mn4 N16'
_cell_length_a 3.6082
_cell_length_b 12.7140
_cell_length_c 12.1927
_cell_angle_alpha 90.00
_cell_angle_beta 90.00
_cell_angle_gamma 90.00
_space_group_name_H-M_alt 'C m c m'
_space_group_IT_number 63
_space_group_name_Hall '-C 2c 2'
loop_
_atom_site_label
_atom_site_type_symbol
_atom_site_fract_x
_atom_site_fract_y
_atom_site_fract_z
Ca1 Ca 0.0000 0.1430 0.2500
La1 La 0.0000 0.3716 0.0392
Mn1 Mn 0.0000 0.1764 0.7500
N1 N 0.0000 0.0000 0.0000
N2 N 0.0000 0.2645 0.6315
N3 N 0.0000 0.3759 0.2500

---

[7]
# GGA-PBE CaTe2Ru, optimized geometry
# E_form (uncorrected) = -0.416 eV per atom
# calculated total energy = -19.2 eV/f.u.
# magnetization = 0.000 μB/f.u.
# distance to the lowest polymorph of the same formula = 295.4 meV/atom
data_CaTe2Ru
_chemical_formula_sum 'Ca1 Te2 Ru1'
_cell_length_a 5.2118
_cell_length_b 4.0778
_cell_length_c 5.2279
_cell_angle_alpha 90.00
_cell_angle_beta 108.05
_cell_angle_gamma 90.00
_space_group_name_H-M_alt 'P 1 2/m 1'
_space_group_IT_number 10
loop_
_space_group_symop_operation_xyz
'x,y,z'
'-x,-y,-z'
'-x,y,-z'
'x,-y,z'
loop_
_atom_site_label
_atom_site_type_symbol
_atom_site_fract_x
_atom_site_fract_y
_atom_site_fract_z
Ca1 Ca 0.0000 0.0000 0.0000
Te1 Te 0.3057 0.5000 0.6951
Ru1 Ru 0.5000 0.0000 0.5000

---

[8]
# GGA-PBE Cs2CdI6Br, optimized geometry
# E_form (uncorrected) = -0.706 eV per atom
# calculated total energy = -20.7 eV/f.u.
# magnetization = 0.001 μB/f.u.
data_Cs2CdI6Br
_chemical_formula_sum 'Cs4 Cd2 I12 Br2'
_cell_length_a 8.9420
_cell_length_b 8.9420
_cell_length_c 12.1299
_cell_angle_alpha 90.00
_cell_angle_beta 90.00
_cell_angle_gamma 90.00
_space_group_name_H-M_alt 'I 4/m m m'
_space_group_IT_number 139
_space_group_name_Hall '-I 4 2'
loop_
_atom_site_label
_atom_site_type_symbol
_atom_site_fract_x
_atom_site_fract_y
_atom_site_fract_z
Cs1 Cs 0.0000 0.5000 0.2500
Cd1 Cd 0.0000 0.0000 0.0000
I1 I 0.0000 0.0000 0.2717
I2 I 0.2263 0.2263 0.0000
Br1 Br 0.0000 0.0000 0.5000

---

[9]
# GGA-PBE SnHgAsSe2, optimized geometry
# E_form (uncorrected) = 0.500 eV per atom
# calculated total energy = -13.4 eV/f.u.
# magnetization = 1.178 μB/f.u.
# distance to the lowest polymorph of the same formula = 0.0 meV/atom
data_SnHgAsSe2
_chemical_formula_sum 'Sn1 Hg1 As1 Se2'
_cell_length_a 5.3107
_cell_length_b 5.3107
_cell_length_c 5.4561
_cell_angle_alpha 90.00
_cell_angle_beta 90.00
_cell_angle_gamma 90.00
_space_group_name_H-M_alt 'P 4/m m m'
_space_group_IT_number 123
_space_group_name_Hall '-P 4 2'
loop_
_atom_site_label
_atom_site_type_symbol
_atom_site_fract_x
_atom_site_fract_y
_atom_site_fract_z
Sn1 Sn 0.0000 0.0000 0.0000
Hg1 Hg 0.5000 0.5000 0.5000
As1 As 0.0000 0.0000 0.5000
Se1 Se 0.0000 0.5000 0.0000

---

[10]
# GGA-PBE KCrTc2, optimized geometry
# calculated total energy = -26.4 eV/f.u.
# magnetization = 2.713 μB/f.u.
# distance to the lowest polymorph of the same formula = 514.9 meV/atom
# formation energy = 1263 meV per atom
data_KCrTc2
_chemical_formula_sum 'K2 Cr2 Tc4'
_cell_length_a 3.0368
_cell_length_b 5.3884
_cell_length_c 9.7794
_cell_angle_alpha 90.00
_cell_angle_beta 90.00
_cell_angle_gamma 90.00
_space_group_name_H-M_alt 'I m m 2'
_space_group_IT_number 44
loop_
_space_group_symop_operation_xyz
'x,y,z'
'-x,-y,z'
'-x,y,z'
'x,-y,z'
'x+1/2,y+1/2,z+1/2'
'-x+1/2,-y+1/2,z+1/2'
'-x+1/2,y+1/2,z+1/2'
'x+1/2,-y+1/2,z+1/2'
loop_
_atom_site_label
_atom_site_type_symbol
_atom_site_fract_x
_atom_site_fract_y
_atom_site_fract_z
K1 K 0.0000 0.0000 0.0000
Cr1 Cr 0.0000 0.5000 0.2058
Tc1 Tc 0.0000 0.0000 0.4737
Tc2 Tc 0.0000 0.5000 0.7889

---

[11]
# GGA-PBE TbSnRh, optimized geometry
# calculated total energy = -18.5 eV/f.u.
# magnetization = 0.000 μB/f.u.
# formation energy = -855 meV per atom
data_TbSnRh
_chemical_formula_sum 'Tb6 Sn6 Rh6'
_cell_length_a 7.3752
_cell_length_b 4.2921
_cell_length_c 12.3267
_cell_angle_alpha 90.00
_cell_angle_beta 91.15
_cell_angle_gamma 90.00
_space_group_name_H-M_alt 'P 1 21/m 1'
_space_group_IT_number 11
loop_
_space_group_symop_operation_xyz
'x,y,z'
'-x,-y,-z'
'-x,y+1/2,-z'
'x,-y+1/2,z'
loop_
_atom_site_label
_atom_site_type_symbol
_atom_site_fract_x
_atom_site_fract_y
_atom_site_fract_z
Tb1 Tb 0.0326 0.2500 0.1234
Tb2 Tb 0.1497 0.2500 0.4185
Tb3 Tb 0.4582 0.7500 0.7906
Sn1 Sn 0.1273 0.2500 0.7072
Sn2 Sn 0.3454 0.7500 0.0456
Sn3 Sn 0.4916 0.7500 0.4108
Rh1 Rh 0.2371 0.7500 0.2547
Rh2 Rh 0.2614 0.7500 0.5886
Rh3 Rh 0.2649 0.2500 0.9213

---

[12]
# GGA-PBE SrMg2AsRu, optimized geometry
# calculated total energy = -10.8 eV/f.u.
# magnetization = 0.000 μB/f.u.
# formation energy = 1606 meV per atom
data_SrMg2AsRu
_chemical_formula_sum 'Sr1 Mg2 As1 Ru1'
_cell_length_a 5.6715
_cell_length_b 5.6715
_cell_length_c 4.7357
_cell_angle_alpha 90.00
_cell_angle_beta 90.00
_cell_angle_gamma 90.00
_space_group_name_H-M_alt 'P 4/m m m'
_space_group_IT_number 123
_space_group_name_Hall '-P 4 2'
loop_
_atom_site_label
_atom_site_type_symbol
_atom_site_fract_x
_atom_site_fract_y
_atom_site_fract_z
Sr1 Sr 0.0000 0.0000 0.0000
Mg1 Mg 0.0000 0.5000 0.0000
As1 As 0.5000 0.5000 0.5000
Ru1 Ru 0.0000 0.0000 0.5000

---

[13]
# GGA-PBE SrMnRh2, optimized geometry
# calculated total energy = -25.8 eV/f.u.
# magnetization = 3.843 μB/f.u.
# distance to the lowest polymorph of the same formula = 0.0 meV/atom
# formation energy = -66 meV per atom
data_SrMnRh2
_chemical_formula_sum 'Sr3 Mn3 Rh6'
_cell_length_a 4.3502
_cell_length_b 4.3502
_cell_length_c 15.9480
_cell_angle_alpha 90.00
_cell_angle_beta 90.00
_cell_angle_gamma 120.00
_space_group_name_H-M_alt 'R -3 m'
_space_group_IT_number 166
_space_group_name_Hall '-R 3 2"'
loop_
_atom_site_label
_atom_site_type_symbol
_atom_site_fract_x
_atom_site_fract_y
_atom_site_fract_z
Sr1 Sr 0.0000 0.0000 0.0000
Mn1 Mn 0.0000 0.0000 0.5000
Rh1 Rh 0.0000 0.0000 0.1952

---

[14]
# GGA-PBE Li4AcCu, optimized geometry
# calculated total energy = -15.2 eV/f.u.
# magnetization = 0.000 μB/f.u.
# formation energy = 111 meV per atom
data_Li4AcCu
_chemical_formula_sum 'Li16 Ac4 Cu4'
_cell_length_a 7.8733
_cell_length_b 7.8733
_cell_length_c 7.8733
_cell_angle_alpha 90.00
_cell_angle_beta 90.00
_cell_angle_gamma 90.00
_space_group_name_H-M_alt 'F -4 3 m'
_space_group_IT_number 216
_space_group_name_Hall 'F -4 2 3'
loop_
_atom_site_label
_atom_site_type_symbol
_atom_site_fract_x
_atom_site_fract_y
_atom_site_fract_z
Li1 Li 0.1212 0.1212 0.3788
Ac1 Ac 0.0000 0.0000 0.0000
Cu1 Cu 0.2500 0.2500 0.7500

---

[15]
# GGA-PBE RbCu2TcI8, optimized geometry
# E_form (uncorrected) = -0.225 eV per atom
# calculated total energy = -34.6 eV/f.u.
# magnetization = 2.241 μB/f.u.
data_RbCu2TcI8
_chemical_formula_sum 'Rb3 Cu6 Tc3 I24'
_cell_length_a 6.8413
_cell_length_b 6.8413
_cell_length_c 36.7420
_cell_angle_alpha 90.00
_cell_angle_beta 90.00
_cell_angle_gamma 120.00
_space_group_name_H-M_alt 'R 3 2'
_space_group_IT_number 155
_space_group_name_Hall 'R 3 2"'
loop_
_atom_site_label
_atom_site_type_symbol
_atom_site_fract_x
_atom_site_fract_y
_atom_site_fract_z
Rb1 Rb 0.0000 0.0000 0.0000
Cu1 Cu 0.0000 0.0000 0.2346
Tc1 Tc 0.0000 0.0000 0.5000
I1 I 0.0000 0.0000 0.3042
I2 I 0.0126 0.3731 0.2157

---

[16]
# GGA-PBE CaZn4Ag8, optimized geometry
# calculated total energy = -31.6 eV/f.u.
# magnetization = 0.000 μB/f.u.
# formation energy = -133 meV per atom
data_CaZn4Ag8
_chemical_formula_sum 'Ca2 Zn8 Ag16'
_cell_length_a 9.3761
_cell_length_b 9.3761
_cell_length_c 5.3375
_cell_angle_alpha 90.00
_cell_angle_beta 90.00
_cell_angle_gamma 90.00
_space_group_name_H-M_alt 'I 4/m m m'
_space_group_IT_number 139
_space_group_name_Hall '-I 4 2'
loop_
_atom_site_label
_atom_site_type_symbol
_atom_site_fract_x
_atom_site_fract_y
_atom_site_fract_z
Ca1 Ca 0.0000 0.0000 0.0000
Zn1 Zn 0.2500 0.2500 0.2500
Ag1 Ag 0.0000 0.2178 0.5000
Ag2 Ag 0.0000 0.3469 0.0000

---

[17]
# GGA-PBE Tm3BiSe, optimized geometry
# E_form (uncorrected) = -0.832 eV per atom
# calculated total energy = -24.9 eV/f.u.
# magnetization = 0.000 μB/f.u.
data_Tm3BiSe
_chemical_formula_sum 'Tm12 Bi4 Se4'
_cell_length_a 8.8033
_cell_length_b 6.6167
_cell_length_c 10.4380
_cell_angle_alpha 90.00
_cell_angle_beta 111.25
_cell_angle_gamma 90.00
_space_group_name_H-M_alt 'P 1 21/c 1'
_space_group_IT_number 14
loop_
_space_group_symop_operation_xyz
'x,y,z'
'-x,-y,-z'
'-x,y+1/2,-z+1/2'
'x,-y+1/2,z+1/2'
loop_
_atom_site_label
_atom_site_type_symbol
_atom_site_fract_x
_atom_site_fract_y
_atom_site_fract_z
Tm1 Tm 0.0362 0.1187 0.3215
Tm2 Tm 0.1925 0.5702 0.5307
Tm3 Tm 0.4049 0.1677 0.8477
Bi1 Bi 0.3504 0.6736 0.8457
Se1 Se 0.1088 0.2046 0.6028

---

[18]
# GGA-PBE AgSnBr2, optimized geometry
# E_form (uncorrected) = -0.147 eV per atom
# calculated total energy = -10.8 eV/f.u.
# magnetization = 0.754 μB/f.u.
# distance to the lowest polymorph of the same formula = 95.1 meV/atom
data_AgSnBr2
_chemical_formula_sum 'Ag4 Sn4 Br8'
_cell_length_a 7.9148
_cell_length_b 7.9148
_cell_length_c 7.3275
_cell_angle_alpha 90.00
_cell_angle_beta 90.00
_cell_angle_gamma 90.00
_space_group_name_H-M_alt 'I -4 2 d'
_space_group_IT_number 122
_space_group_name_Hall 'I -4 2bw'
loop_
_atom_site_label
_atom_site_type_symbol
_atom_site_fract_x
_atom_site_fract_y
_atom_site_fract_z
Ag1 Ag 0.0000 0.0000 0.0000
Sn1 Sn 0.0000 0.0000 0.5000
Br1 Br 0.2228 0.2500 0.1250

---

[19]
# GGA-PBE InBAs2Br, optimized geometry
# E_form (uncorrected) = 0.554 eV per atom
# calculated total energy = -17.6 eV/f.u.
# magnetization = 0.001 μB/f.u.
# distance to the lowest polymorph of the same formula = 0.0 meV/atom
data_InBAs2Br
_chemical_formula_sum 'In1 B1 As2 Br1'
_cell_length_a 4.2886
_cell_length_b 4.2886
_cell_length_c 7.6425
_cell_angle_alpha 90.00
_cell_angle_beta 90.00
_cell_angle_gamma 90.00
_space_group_name_H-M_alt 'P 4/m m m'
_space_group_IT_number 123
_space_group_name_Hall '-P 4 2'
loop_
_atom_site_label
_atom_site_type_symbol
_atom_site_fract_x
_atom_site_fract_y
_atom_site_fract_z
In1 In 0.0000 0.0000 0.0000
B1 B 0.5000 0.5000 0.5000
As1 As 0.0000 0.5000 0.5000
Br1 Br 0.5000 0.5000 0.0000

---

[20]
# GGA-PBE Cs2Rb2Tl, optimized geometry
# calculated total energy = -5.4 eV/f.u.
# magnetization = 0.000 μB/f.u.
# distance to the lowest polymorph of the same formula = 134.7 meV/atom
# formation energy = 115 meV per atom
data_Cs2Rb2Tl
_chemical_formula_sum 'Cs4 Rb4 Tl2'
_cell_length_a 10.1892
_cell_length_b 10.1892
_cell_length_c 7.8244
_cell_angle_alpha 90.00
_cell_angle_beta 90.00
_cell_angle_gamma 90.00
_space_group_name_H-M_alt 'P 4/m b m'
_space_group_IT_number 127
_space_group_name_Hall '-P 4 2ab'
loop_
_atom_site_label
_atom_site_type_symbol
_atom_site_fract_x
_atom_site_fract_y
_atom_site_fract_z
Cs1 Cs 0.1582 0.3418 0.0000
Rb1 Rb 0.1817 0.6817 0.5000
Tl1 Tl 0.0000 0.0000 0.0000

---

The volume results, record by record, are as follows: 278.8 141.9 103.9 118.2 218.2 559.3 105.6 969.9 153.9 160.0 390.1 152.3 261.4 488.1 1489.3 469.2 566.6 459.0 140.6 812.3 Å³/cell.
The D(E_F) results, record by record, are as follows: 9.1 5.7 6.4 3.3 4.1 8.1 1.2 15.1 4.6 7.3 10.7 4.2 13.1 13.4 28.2 10.1 12.7 11.4 3.7 14.3 states/eV/cell.